[1]
{"formula": "GdHo2Tm", "functional": "GGA-PBE", "state": "relaxed", "lattice_angstrom": [[3.5240, 0.0000, 0.0000], [0.0000, 3.5240, 0.0000], [0.0000, 0.0000, 10.0036]], "species": ["Gd", "Ho", "Ho", "Tm"], "fractional_positions": [[0.0000, 0.0000, 0.0000], [0.5000, 0.5000, 0.2539], [0.5000, 0.5000, 0.7461], [0.0000, 0.0000, 0.5000]]}



[2]
{"formula": "GdHo2Tm", "functional": "GGA-PBE", "state": "relaxed", "lattice_angstrom": [[4.9870, 0.0000, 0.0000], [0.0000, 4.9870, 0.0000], [0.0000, 0.0000, 4.9994]], "species": ["Gd", "Ho", "Ho", "Tm"], "fractional_positions": [[0.0000, 0.0000, 0.0000], [0.0000, 0.5000, 0.5000], [0.5000, 0.0000, 0.5000], [0.5000, 0.5000, 0.0000]]}



[3]
{"formula": "Gd2HoTm", "functional": "GGA-PBE", "state": "relaxed", "lattice_angstrom": [[5.0130, 0.0000, 0.0000], [0.0000, 5.0130, 0.0000], [0.0000, 0.0000, 4.9913]], "species": ["Gd", "Gd", "Ho", "Tm"], "fractional_positions": [[0.0000, 0.5000, 0.0000], [0.5000, 0.0000, 0.0000], [0.0000, 0.0000, 0.5000], [0.5000, 0.5000, 0.5000]]}



no.,electronic total energy (eV per cell),ΔH_f (0 K) (eV/atom),excess energy over the best structure of this formula in the dataset (meV/atom)
1,-27.60,0.026,3
2,-27.62,0.023,0
3,-37.09,0.030,1